# 1
First-principles (PBE) data for CoP2Ir2 after structural relaxation, as listed in the Alexandria database.

```
data_CoP2Ir2
_cell_length_a 6.810
_cell_length_b 6.810
_cell_length_c 2.897
_cell_angle_alpha 90.00
_cell_angle_beta 90.00
_cell_angle_gamma 90.00
_space_group_name_H-M_alt 'P 4/m b m'
_space_group_IT_number 127
_space_group_name_Hall '-P 4 2ab'
loop_
_atom_site_label
_atom_site_type_symbol
_atom_site_fract_x
_atom_site_fract_y
_atom_site_fract_z
Co1 Co 0.000 0.000 0.000
P1 P 0.158 0.342 0.000
Ir1 Ir 0.146 0.646 0.500
```

Its volume is 134 Å³ per cell. The calculation puts the total energy at -7.052 eV per atom. For the energy above the most stable polymorph in this dataset, the calculation gives 7.6 kJ per mole of atoms.



# 2
First-principles (PBE) data for CoP2Ir after structural relaxation, as listed in the Alexandria database.

```
data_CoP2Ir
_cell_length_a 2.864
_cell_length_b 3.833
_cell_length_c 4.862
_cell_angle_alpha 90.00
_cell_angle_beta 90.00
_cell_angle_gamma 90.00
_space_group_name_H-M_alt 'P m m m'
_space_group_IT_number 47
_space_group_name_Hall '-P 2 2'
loop_
_atom_site_label
_atom_site_type_symbol
_atom_site_fract_x
_atom_site_fract_y
_atom_site_fract_z
Co1 Co 0.000 0.000 0.000
P1 P 0.000 0.500 0.500
P2 P 0.500 0.500 0.000
Ir1 Ir 0.500 0.000 0.500
```

Its volume is 53 Å³ per cell. The calculation puts the total energy at -6.406 eV per atom. For the energy above the most stable polymorph in this dataset, the calculation gives 66.1 kJ per mole of atoms.



# 3
First-principles (PBE) data for CoP3Ir after structural relaxation, as listed in the Alexandria database.

```
data_CoP3Ir
_cell_length_a 3.564
_cell_length_b 4.110
_cell_length_c 5.737
_cell_angle_alpha 98.15
_cell_angle_beta 90.40
_cell_angle_gamma 115.02
_space_group_name_H-M_alt 'P 1'
_space_group_IT_number 1
_space_group_name_Hall 'P 1'
loop_
_atom_site_label
_atom_site_type_symbol
_atom_site_fract_x
_atom_site_fract_y
_atom_site_fract_z
Co1 Co 0.000 0.000 0.000
P1 P 0.252 0.462 0.493
P2 P 0.468 0.930 0.768
P3 P 0.981 0.525 0.126
Ir1 Ir 0.562 0.091 0.367
```

Its volume is 75 Å³ per cell. The calculation puts the total energy at -6.654 eV per atom. For the energy above the most stable polymorph in this dataset, the calculation gives 10.7 kJ per mole of atoms.



# 4
First-principles (PBE) data for Co2PIr after structural relaxation, as listed in the Alexandria database.

```
data_Co2PIr
_cell_length_a 4.888
_cell_length_b 7.203
_cell_length_c 2.695
_cell_angle_alpha 90.00
_cell_angle_beta 90.00
_cell_angle_gamma 90.00
_space_group_name_H-M_alt 'C m m m'
_space_group_IT_number 65
_space_group_name_Hall '-C 2 2'
loop_
_atom_site_label
_atom_site_type_symbol
_atom_site_fract_x
_atom_site_fract_y
_atom_site_fract_z
Co1 Co 0.250 0.250 0.000
P1 P 0.000 0.000 0.500
Ir1 Ir 0.000 0.500 0.500
```

Its volume is 95 Å³ per cell. The calculation puts the total energy at -7.132 eV per atom.



# 5
First-principles (PBE) data for CoP2Ir after structural relaxation, as listed in the Alexandria database.

```
data_CoP2Ir
_cell_length_a 3.258
_cell_length_b 3.258
_cell_length_c 4.822
_cell_angle_alpha 90.00
_cell_angle_beta 90.00
_cell_angle_gamma 90.00
_space_group_name_H-M_alt 'P 4 m m'
_space_group_IT_number 99
_space_group_name_Hall 'P 4 -2'
loop_
_atom_site_label
_atom_site_type_symbol
_atom_site_fract_x
_atom_site_fract_y
_atom_site_fract_z
Co1 Co 0.000 0.000 0.000
P1 P 0.000 0.000 0.525
P2 P 0.500 0.500 0.880
Ir1 Ir 0.500 0.500 0.369
```

Its volume is 51 Å³ per cell. The calculation puts the total energy at -6.976 eV per atom. For the energy above the most stable polymorph in this dataset, the calculation gives 11.2 kJ per mole of atoms.



# 6
First-principles (PBE) data for CoP2Ir after structural relaxation, as listed in the Alexandria database.

```
data_CoP2Ir
_cell_length_a 5.753
_cell_length_b 6.167
_cell_length_c 2.872
_cell_angle_alpha 90.00
_cell_angle_beta 90.00
_cell_angle_gamma 90.00
_space_group_name_H-M_alt 'C m m m'
_space_group_IT_number 65
_space_group_name_Hall '-C 2 2'
loop_
_atom_site_label
_atom_site_type_symbol
_atom_site_fract_x
_atom_site_fract_y
_atom_site_fract_z
Co1 Co 0.000 0.000 0.000
P1 P 0.250 0.250 0.500
Ir1 Ir 0.000 0.500 0.000
```

Its volume is 102 Å³ per cell. The calculation puts the total energy at -6.618 eV per atom. For the energy above the most stable polymorph in this dataset, the calculation gives 45.7 kJ per mole of atoms.



# 7
First-principles (PBE) data for Co3PIr after structural relaxation, as listed in the Alexandria database.

```
data_Co3PIr
_cell_length_a 4.085
_cell_length_b 4.085
_cell_length_c 4.085
_cell_angle_alpha 90.00
_cell_angle_beta 90.00
_cell_angle_gamma 90.00
_space_group_name_H-M_alt 'P m -3 m'
_space_group_IT_number 221
_space_group_name_Hall '-P 4 2 3'
loop_
_atom_site_label
_atom_site_type_symbol
_atom_site_fract_x
_atom_site_fract_y
_atom_site_fract_z
Co1 Co 0.000 0.000 0.500
P1 P 0.000 0.000 0.000
Ir1 Ir 0.500 0.500 0.500
```

Its volume is 68 Å³ per cell. The calculation puts the total energy at -6.586 eV per atom. For the energy above the most stable polymorph in this dataset, the calculation gives 0.0 kJ per mole of atoms.



# 8
First-principles (PBE) data for CoP3Ir after structural relaxation, as listed in the Alexandria database.

```
data_CoP3Ir
_cell_length_a 7.770
_cell_length_b 3.659
_cell_length_c 6.059
_cell_angle_alpha 90.00
_cell_angle_beta 119.16
_cell_angle_gamma 90.00
_space_group_name_H-M_alt 'C 1 m 1'
_space_group_IT_number 8
_space_group_name_Hall 'C -2y'
loop_
_atom_site_label
_atom_site_type_symbol
_atom_site_fract_x
_atom_site_fract_y
_atom_site_fract_z
Co1 Co 0.000 0.000 0.000
P1 P 0.032 0.000 0.666
P2 P 0.094 0.500 0.231
P3 P 0.344 0.000 0.786
Ir1 Ir 0.369 0.000 0.411
```

Its volume is 150 Å³ per cell. The calculation puts the total energy at -6.728 eV per atom. For the energy above the most stable polymorph in this dataset, the calculation gives 3.6 kJ per mole of atoms.



# 9
First-principles (PBE) data for CoP2Ir after structural relaxation, as listed in the Alexandria database.

```
data_CoP2Ir
_cell_length_a 2.882
_cell_length_b 4.117
_cell_length_c 8.930
_cell_angle_alpha 90.00
_cell_angle_beta 90.00
_cell_angle_gamma 90.00
_space_group_name_H-M_alt 'I m m 2'
_space_group_IT_number 44
_space_group_name_Hall 'I 2 -2'
loop_
_atom_site_label
_atom_site_type_symbol
_atom_site_fract_x
_atom_site_fract_y
_atom_site_fract_z
Co1 Co 0.000 0.000 0.000
P1 P 0.000 0.000 0.523
P2 P 0.000 0.500 0.302
Ir1 Ir 0.000 0.500 0.799
```

Its volume is 106 Å³ per cell. The calculation puts the total energy at -6.629 eV per atom. For the energy above the most stable polymorph in this dataset, the calculation gives 44.6 kJ per mole of atoms.



# 10
First-principles (PBE) data for Co2PIr after structural relaxation, as listed in the Alexandria database.

```
data_Co2PIr
_cell_length_a 3.687
_cell_length_b 3.687
_cell_length_c 6.920
_cell_angle_alpha 90.00
_cell_angle_beta 90.00
_cell_angle_gamma 90.00
_space_group_name_H-M_alt 'I -4 m 2'
_space_group_IT_number 119
_space_group_name_Hall 'I -4 -2'
loop_
_atom_site_label
_atom_site_type_symbol
_atom_site_fract_x
_atom_site_fract_y
_atom_site_fract_z
Co1 Co 0.000 0.000 0.000
Co2 Co 0.000 0.500 0.250
P1 P 0.000 0.000 0.500
Ir1 Ir 0.000 0.500 0.750
```

Its volume is 94 Å³ per cell. The calculation puts the total energy at -7.162 eV per atom.



# 11
First-principles (PBE) data for Co2PIr after structural relaxation, as listed in the Alexandria database.

```
data_Co2PIr
_cell_length_a 2.719
_cell_length_b 2.719
_cell_length_c 6.308
_cell_angle_alpha 90.00
_cell_angle_beta 90.00
_cell_angle_gamma 90.00
_space_group_name_H-M_alt 'P 4/m m m'
_space_group_IT_number 123
_space_group_name_Hall '-P 4 2'
loop_
_atom_site_label
_atom_site_type_symbol
_atom_site_fract_x
_atom_site_fract_y
_atom_site_fract_z
Co1 Co 0.000 0.000 0.207
P1 P 0.500 0.500 0.000
Ir1 Ir 0.500 0.500 0.500
```

Its volume is 47 Å³ per cell. The calculation puts the total energy at -7.208 eV per atom.



# 12
First-principles (PBE) data for CoP2Ir after structural relaxation, as listed in the Alexandria database.

```
data_CoP2Ir
_cell_length_a 2.814
_cell_length_b 2.814
_cell_length_c 7.521
_cell_angle_alpha 90.00
_cell_angle_beta 90.00
_cell_angle_gamma 90.00
_space_group_name_H-M_alt 'P 4 m m'
_space_group_IT_number 99
_space_group_name_Hall 'P 4 -2'
loop_
_atom_site_label
_atom_site_type_symbol
_atom_site_fract_x
_atom_site_fract_y
_atom_site_fract_z
Co1 Co 0.000 0.000 0.000
P1 P 0.000 0.000 0.447
P2 P 0.500 0.500 0.850
Ir1 Ir 0.500 0.500 0.264
```

Its volume is 60 Å³ per cell. The calculation puts the total energy at -6.785 eV per atom. For the energy above the most stable polymorph in this dataset, the calculation gives 29.5 kJ per mole of atoms.



# 13
First-principles (PBE) data for CoP2Ir after structural relaxation, as listed in the Alexandria database.

```
data_CoP2Ir
_cell_length_a 2.820
_cell_length_b 4.885
_cell_length_c 7.610
_cell_angle_alpha 90.00
_cell_angle_beta 90.00
_cell_angle_gamma 90.00
_space_group_name_H-M_alt 'I m m m'
_space_group_IT_number 71
_space_group_name_Hall '-I 2 2'
loop_
_atom_site_label
_atom_site_type_symbol
_atom_site_fract_x
_atom_site_fract_y
_atom_site_fract_z
Co1 Co 0.000 0.000 0.000
P1 P 0.000 0.500 0.267
Ir1 Ir 0.000 0.000 0.500
```

Its volume is 105 Å³ per cell. The calculation puts the total energy at -6.453 eV per atom. For the energy above the most stable polymorph in this dataset, the calculation gives 61.6 kJ per mole of atoms.



# 14
First-principles (PBE) data for Co3PIr after structural relaxation, as listed in the Alexandria database.

```
data_Co3PIr
_cell_length_a 4.531
_cell_length_b 4.531
_cell_length_c 4.531
_cell_angle_alpha 90.00
_cell_angle_beta 90.00
_cell_angle_gamma 90.00
_space_group_name_H-M_alt 'P m -3 m'
_space_group_IT_number 221
_space_group_name_Hall '-P 4 2 3'
loop_
_atom_site_label
_atom_site_type_symbol
_atom_site_fract_x
_atom_site_fract_y
_atom_site_fract_z
Co1 Co 0.000 0.000 0.500
P1 P 0.500 0.500 0.500
Ir1 Ir 0.000 0.000 0.000
```

Its volume is 93 Å³ per cell. The calculation puts the total energy at -5.565 eV per atom. For the energy above the most stable polymorph in this dataset, the calculation gives 98.5 kJ per mole of atoms.